[1]
This record from the Alexandria database describes a relaxed structure of CsRb2HgO. The functional is GGA-PBE.

Cell lengths 5.743, 5.743, 6.048 Å; angles 90.00, 90.00, 90.00 degrees
Atoms (fractional coordinates):
Cs 0.000 0.000 0.000
Rb 0.000 0.500 0.500
Rb 0.500 0.000 0.500
Hg 0.500 0.500 0.000
O 0.000 0.000 0.500

Total magnetization   0.00 μB per cell
Symmetry   P4/mmm, No. 123

[2]
This record from the Alexandria database describes a relaxed structure of Cs6Rb2Hg3O. The functional is GGA-PBE.

Cell lengths 8.602, 8.825, 10.734 Å; angles 65.78, 87.41, 89.97 degrees
Atoms (fractional coordinates):
Cs 0.179 0.340 0.352
Cs 0.180 0.807 0.352
Cs 0.229 0.390 0.720
Cs 0.771 0.610 0.280
Cs 0.820 0.193 0.648
Cs 0.821 0.660 0.648
Rb 0.351 0.807 0.886
Rb 0.649 0.193 0.114
Hg 0.000 0.000 0.000
Hg 0.000 0.500 0.000
Hg 0.500 0.000 0.500
O 0.000 0.500 0.500

Total magnetization   0.00 μB per cell
Symmetry   P-1, No. 2

[3]
This record from the Alexandria database describes a relaxed structure of Cs3Re2HgO8. The functional is GGA-PBE.

Cell lengths 6.608, 6.608, 10.017 Å; angles 90.00, 90.00, 120.00 degrees
Atoms (fractional coordinates):
Cs 0.000 0.000 0.000
Cs 0.333 0.667 0.698
Cs 0.667 0.333 0.302
Re 0.333 0.667 0.169
Re 0.667 0.333 0.831
Hg 0.000 0.000 0.500
O 0.187 0.375 0.230
O 0.187 0.813 0.230
O 0.333 0.667 0.991
O 0.375 0.187 0.770
O 0.625 0.813 0.230
O 0.667 0.333 0.009
O 0.813 0.187 0.770
O 0.813 0.625 0.770

Total magnetization   1.12 μB per cell
Symmetry   P-3m1, No. 164

[4]
This record from the Alexandria database describes a relaxed structure of Cs2HgRhO4. The functional is GGA-PBE.

Cell lengths 12.370, 11.103, 7.175 Å; angles 82.16, 62.77, 35.07 degrees
Atoms (fractional coordinates):
Cs 0.057 0.057 0.693
Cs 0.307 0.307 0.943
Cs 0.693 0.693 0.057
Cs 0.943 0.943 0.307
Hg 0.125 0.125 0.125
Hg 0.875 0.875 0.875
Rh 0.375 0.375 0.375
Rh 0.625 0.625 0.625
O 0.055 0.620 0.524
O 0.301 0.524 0.620
O 0.380 0.945 0.699
O 0.476 0.699 0.945
O 0.524 0.301 0.055
O 0.620 0.055 0.301
O 0.699 0.476 0.380
O 0.945 0.380 0.476

Total magnetization   0.00 μB per cell
Symmetry   Fddd, No. 70

[5]
This record from the Alexandria database describes a relaxed structure of Cs2HgRuO6. The functional is GGA-PBE.

Cell lengths 6.498, 6.498, 5.934 Å; angles 90.00, 90.00, 120.00 degrees
Atoms (fractional coordinates):
Cs 0.333 0.667 0.188
Cs 0.667 0.333 0.812
Hg 0.000 0.000 0.500
Ru 0.000 0.000 0.000
O 0.136 0.272 0.809
O 0.136 0.864 0.809
O 0.272 0.136 0.191
O 0.728 0.864 0.809
O 0.864 0.136 0.191
O 0.864 0.728 0.191

Total magnetization   0.70 μB per cell
Symmetry   P-3m1, No. 164

[6]
This record from the Alexandria database describes a relaxed structure of Cs3HgS2O8. The functional is GGA-PBE.

Cell lengths 6.350, 6.350, 8.380 Å; angles 90.00, 90.00, 120.00 degrees
Atoms (fractional coordinates):
Cs 0.000 0.000 0.000
Cs 0.333 0.667 0.681
Cs 0.667 0.333 0.319
Hg 0.000 0.000 0.500
S 0.333 0.667 0.222
S 0.667 0.333 0.778
O 0.204 0.408 0.281
O 0.204 0.796 0.281
O 0.333 0.667 0.045
O 0.408 0.204 0.719
O 0.592 0.796 0.281
O 0.667 0.333 0.955
O 0.796 0.204 0.719
O 0.796 0.592 0.719

Total magnetization   0.00 μB per cell
Symmetry   P-3m1, No. 164

For the records above, the corresponding formation energy (no corrections) values read -0.5829 -0.3347 -1.6597 -0.7210 -0.7409 -1.5492 eV/atom.
For the records above, the corresponding calculated volume values read 39.90 61.85 27.05 27.85 21.70 20.90 Å³/atom.
For the records above, the corresponding E_tot values read -2.19 -1.41 -6.48 -4.37 -4.84 -5.18 eV per atom.